1.
CsNaAu2F8 GGA-PBE optimized geometry; raw total energy = -3.334 eV/atom; magnetization = 0.345 μB/atom; crystal system = trigonal; SG = P-3, No. 147
1.0
-4.3159 0.0191 4.1956
1.6108 -5.1653 -2.6372
4.9662 -1.0620 5.1135
Cs Na Au F
1 1 2 8
Cartesian
0.0000 0.0000 0.0000
2.4831 -0.5310 2.5567
-0.2415 -2.1579 4.0791
2.5026 -4.0504 2.5928
3.9281 -4.3552 4.0606
1.0673 -2.2966 2.2262
0.6311 -5.2572 2.0350
-1.6670 -1.8530 2.6113
1.6301 -0.9511 4.6368
1.1938 -3.9117 4.4456
-0.4317 -2.2774 6.3638
2.6928 -3.9309 0.3081

2.
LiPRu GGA-PBE optimized geometry; raw total energy = -5.549 eV/atom; magnetization = 0.000 μB/atom; crystal system = orthorhombic; SG = Fmm2, No. 42
1.0
6.4717 -0.0024 0.0017
5.6295 2.6609 0.0311
0.8423 -0.9294 2.4961
Li P Ru
1 1 1
Cartesian
12.0528 2.6430 0.0433
4.4696 0.2265 1.7024
8.5223 1.5180 0.8158